# 1
The following is a DFT calculation (GGA-PBEsol) of a relaxed structure of Ba2MoO3F4.

Properties
E_form (uncorrected): -3.12 eV per atom

Cell lengths 11.3675, 9.3774, 7.1706 Å; angles 90.00, 126.08, 90.00 degrees
Space group Cc (No. 9)
Asymmetric unit:
Ba  0.0000  0.1173  0.0000 [4 per cell]
Ba  0.2923  0.1780  0.8221 [4 per cell]
Mo  0.1155  0.4664  0.9424 [4 per cell]
O  0.1297  0.4385  0.7035 [4 per cell]
O  0.2166  0.3175  0.1064 [4 per cell]
O  0.4403  0.0925  0.3219 [4 per cell]
F  0.0362  0.3325  0.3071 [4 per cell]
F  0.1827  0.0356  0.4425 [4 per cell]
F  0.3128  0.4172  0.6088 [4 per cell]
F  0.4988  0.3487  0.1234 [4 per cell]

# 2
The following is a DFT calculation (GGA-PBEsol) of a relaxed structure of Sr2RhAu.

Properties
Energy of formation: -342.9 meV per atom

Cell lengths 3.5884, 3.5884, 7.5349 Å; angles 90.00, 90.00, 90.00 degrees
Space group P4/mmm (No. 123)
Asymmetric unit:
Sr  0.0000  0.0000  0.2334 [2 per cell]
Rh  0.5000  0.5000  0.0000 [1 per cell]
Au  0.5000  0.5000  0.5000 [1 per cell]

# 3
The following is a DFT calculation (GGA-PBEsol) of a relaxed structure of K2AgH2.

Properties
Distance to the lowest polymorph of the same formula: 187 meV/atom

Cell lengths 7.4888, 7.4888, 3.3502 Å; angles 90.00, 90.00, 90.00 degrees
Space group P4/mbm (No. 127)
Asymmetric unit:
K  0.1480  0.3520  0.0000 [4 per cell]
Ag  0.0000  0.0000  0.5000 [2 per cell]
H  0.1582  0.6582  0.5000 [4 per cell]

# 4
The following is a DFT calculation (GGA-PBEsol) of a relaxed structure of GaSbC3.

Properties
E_form (uncorrected): 2.52 eV per atom

Cell lengths 4.0157, 4.0157, 4.0157 Å; angles 90.00, 90.00, 90.00 degrees
Space group Pm-3m (No. 221)
Asymmetric unit:
Ga  0.0000  0.0000  0.0000 [1 per cell]
Sb  0.5000  0.5000  0.5000 [1 per cell]
C  0.0000  0.0000  0.5000 [3 per cell]

Which size of the total moment belongs to each record? In order, 0.00, 0.00, 0.00, 0.00 μB per cell.
Which mass density belongs to each record? In order, 5.3, 8.1, 3.3, 5.8 g cm⁻³.
Which Fermi-level density of states belongs to each record? In order, 0.0, 1.5, 1.0, 3.3 states/eV/f.u..